## i
An optimized crystal structure of Pu2UMn. Source: Alexandria, functional PBE.

Computed properties:
* magnetic moment: 7.61 Bohr magnetons per cell
* crystal system: tetragonal

```
4
Lattice="-1.732 -2.114 1.995 2.028 -2.542 -0.934 4.160 1.433 5.130" Properties=species:S:1:pos:R:3 pbc="T T T"
Pu 3.215 1.108 3.965
U 2.228 -1.611 3.096
Mn 0.148 -2.328 0.530
Pu 0.945 0.326 1.166
```

***

## ii
An optimized crystal structure of Pu2UMn. Source: Alexandria, functional PBE.

Computed properties:
* magnetic moment: 8.64 Bohr magnetons per cell
* crystal system: cubic

```
4
Lattice="4.797 0.000 0.000 2.398 4.154 0.000 2.398 1.385 3.917" Properties=species:S:1:pos:R:3 pbc="T T T"
Pu 7.195 4.154 2.937
Pu 2.398 1.385 0.979
Mn 0.000 0.000 0.000
U 4.797 2.769 1.958
```

***

## iii
An optimized crystal structure of Pu2UMn. Source: Alexandria, functional PBE.

Computed properties:
* magnetic moment: 5.04 Bohr magnetons per cell
* crystal system: trigonal

```
4
Lattice="3.565 0.000 0.000 1.782 3.087 0.000 1.782 1.029 7.687" Properties=species:S:1:pos:R:3 pbc="T T T"
Pu 1.782 1.029 5.381
U 3.565 2.058 3.843
Mn 0.000 0.000 0.000
Pu 5.347 3.087 2.306
```

***

It is i that is most stable; the runner-up trails by 5.1 kJ/mol of atoms.